Here is a relaxed structure of BeCr2Fe from the Alexandria database. Energies are from PBE.

Results
energy of formation from the pure elements	0.055	eV per atom
energy	-7.80	eV/atom

Cell: 4.6641 7.8524 2.3964 Å, 90.00 105.46 90.00°
Space group C2/m (No. 12)
Inequivalent atoms, fractional coordinates:
1 Be 0.0000 0.0000 0.0000 [2 per cell]
2 Cr 0.2500 0.2500 0.5000 [4 per cell]
3 Fe 0.0000 0.5000 0.0000 [2 per cell]